# 1
Density functional theory data (PBE) for BaNp4Co3S12 after structural relaxation.

a = 9.6204 Å, b = 9.6204 Å, c = 9.6204 Å
α = 90.00°, β = 90.00°, γ = 90.00°
Space group Im-3 (No. 204)
Unique sites:
Ba1 0.0000 0.0000 0.0000 x2
Np1 0.2500 0.2500 0.2500 x8
Co1 0.0000 0.0000 0.5000 x6
S1 0.0000 0.1570 0.3271 x24

E_form (uncorrected) in eV/atom: -0.891
Calculated total energy in eV per atom: -7.12
V in Å³ per cell: 890.4

***

# 2
Density functional theory data (PBE) for Ba2NpCoS5 after structural relaxation.

a = 4.0994 Å, b = 17.7277 Å, c = 12.9302 Å
α = 90.00°, β = 90.00°, γ = 90.00°
Space group Cmc2_1 (No. 36)
Unique sites:
Ba1 0.0000 0.1193 0.0000 x4
Ba2 0.0000 0.1228 0.3604 x4
Np1 0.0000 0.1925 0.6847 x4
Co1 0.0000 0.4335 0.0931 x4
S1 0.0000 0.0451 0.6631 x4
S2 0.0000 0.3073 0.3229 x4
S3 0.0000 0.3090 0.0461 x4
S4 0.0000 0.3404 0.6798 x4
S5 0.0000 0.4946 0.9428 x4

E_form (uncorrected) in eV/atom: -1.426
Calculated total energy in eV per atom: -6.37
V in Å³ per cell: 939.7

***

# 3
Density functional theory data (PBE) for BaNpCoSe4 after structural relaxation.

a = 6.9940 Å, b = 6.0283 Å, c = 8.9086 Å
α = 90.00°, β = 106.27°, γ = 90.00°
Space group P2_1/m (No. 11)
Unique sites:
Ba1 0.2428 0.2500 0.4390 x2
Np1 0.2390 0.2500 0.9472 x2
Co1 0.2597 0.7500 0.1678 x2
Se1 0.0618 0.7500 0.3450 x2
Se2 0.0770 0.7500 0.9085 x2
Se3 0.4826 0.5083 0.7801 x4

E_form (uncorrected) in eV/atom: -1.071
Calculated total energy in eV per atom: -6.20
V in Å³ per cell: 360.6